1.
Computed, not measured: an optimized crystal structure of LaTbSm2Y2 at the PBE level of DFT.

a = 6.6488 Å, b = 18.1481 Å, c = 3.4103 Å
α = 90.00°, β = 90.00°, γ = 90.00°
Closest atoms and distances in Å follow each position.
Element x y z (fractional)
La1 0.0000 0.0000 0.0000  2 Y 3.28, 2 La 3.41, 2 Sm 3.67
La2 0.5000 0.5000 0.5000  2 Y 3.28, 2 La 3.41, 2 Sm 3.67
Tb1 0.0000 0.5000 0.0000  2 Tb 3.41, 4 Y 3.51, 4 La 3.74
Tb2 0.5000 0.0000 0.5000  2 Tb 3.41, 4 Y 3.51, 4 La 3.74
Sm1 0.2232 0.1849 0.0000  4 Y 3.36-3.47, 2 Sm 3.41, 1 La 3.67
Sm2 0.2768 0.6849 0.5000  4 Y 3.36-3.47, 2 Sm 3.41, 1 La 3.67
Sm3 0.7232 0.3151 0.5000  4 Y 3.36-3.47, 2 Sm 3.41, 1 La 3.67
Sm4 0.7768 0.8151 0.0000  4 Y 3.36-3.47, 2 Sm 3.41, 1 La 3.67
Y1 0.2191 0.3513 0.5000  1 La 3.28, 4 Sm 3.36-3.47, 2 Y 3.41, 2 Tb 3.51
Y2 0.2809 0.8513 0.0000  1 La 3.28, 4 Sm 3.36-3.47, 2 Y 3.41, 2 Tb 3.51
Y3 0.7191 0.1487 0.0000  1 La 3.28, 4 Sm 3.36-3.47, 2 Y 3.41, 2 Tb 3.51
Y4 0.7809 0.6487 0.5000  1 La 3.28, 4 Sm 3.36-3.47, 2 Y 3.41, 2 Tb 3.51

Calculated values
- crystal system = orthorhombic
- formation energy (eV per atom) = 0.2751

---

2.
Computed, not measured: an optimized crystal structure of ScVCuW2 at the PBE level of DFT.

a = 4.6084 Å, b = 4.6084 Å, c = 4.4584 Å
α = 90.00°, β = 90.00°, γ = 90.00°
Closest atoms and distances in Å follow each position.
Element x y z (fractional)
Sc1 0.0000 0.0000 0.0000  2 Cu 2.23
V1 0.5000 0.5000 0.0000  8 W 3.21, 4 Sc 3.26
Cu1 0.0000 0.0000 0.5000  2 Sc 2.23, 4 W 2.30
W1 0.0000 0.5000 0.5000  2 Cu 2.30
W2 0.5000 0.0000 0.5000  2 Cu 2.30

Calculated values
- crystal system = tetragonal
- formation energy (eV per atom) = 1.5279

---

3.
Computed, not measured: an optimized crystal structure of Rb3Ho3HfTe8 at the PBE level of DFT.

a = 10.1239 Å, b = 10.1239 Å, c = 10.1239 Å
α = 51.36°, β = 51.36°, γ = 51.36°
Closest atoms and distances in Å follow each position.
Element x y z (fractional)
Rb1 0.0000 0.5000 0.5000  6 Te 3.66-3.67
Rb2 0.5000 0.0000 0.5000  6 Te 3.66-3.67
Rb3 0.5000 0.5000 0.0000  6 Te 3.66-3.67
Ho1 0.0000 0.0000 0.5000  6 Te 3.08-3.09
Ho2 0.0000 0.5000 0.0000  6 Te 3.08-3.09
Ho3 0.5000 0.0000 0.0000  6 Te 3.08-3.09
Hf1 0.5000 0.5000 0.5000  6 Te 2.95
Te1 0.2330 0.2330 0.2330  3 Ho 3.08
Te2 0.2448 0.7235 0.7235  1 Hf 2.95, 2 Ho 3.09
Te3 0.2765 0.2765 0.7552  1 Hf 2.95, 2 Ho 3.09
Te4 0.2765 0.7552 0.2765  1 Hf 2.95, 2 Ho 3.09
Te5 0.7235 0.2448 0.7235  1 Hf 2.95, 2 Ho 3.09
Te6 0.7235 0.7235 0.2448  1 Hf 2.95, 2 Ho 3.09
Te7 0.7552 0.2765 0.2765  1 Hf 2.95, 2 Ho 3.09
Te8 0.7670 0.7670 0.7670  3 Ho 3.08

Calculated values
- crystal system = trigonal
- ΔE_f (raw) (eV/atom) = -1.259

---

4.
Computed, not measured: an optimized crystal structure of Tl2RhCl at the PBE level of DFT.

a = 6.6159 Å, b = 6.6159 Å, c = 6.6159 Å
α = 144.09°, β = 144.09°, γ = 51.69°
Closest atoms and distances in Å follow each position.
Element x y z (fractional)
Tl1 0.0000 0.0000 0.0000  4 Rh 2.88
Tl2 0.7500 0.2500 0.5000  4 Cl 2.88
Rh1 0.5000 0.5000 0.0000  4 Tl 2.88
Cl1 0.2500 0.7500 0.5000  4 Tl 2.88

Calculated values
- crystal system = tetragonal
- ΔE_f (raw) (eV/atom) = 0.106

---

Number 1: total moment 0.0 μB per formula unit. Number 2: total moment 0.0 μB per formula unit. Number 3: total moment 0.0 μB per formula unit. Number 4: total moment 0.1 μB per formula unit.